The following is a PBE with a Hubbard U calculation of a geometry-optimized LiHoNi2O4 structure, from the Alexandria database.

```
LiHoNi2O4
1.0
5.265 0.000 0.000
0.000 3.195 0.000
-1.687 0.000 5.001
Li Ho Ni O
1 1 2 4
direct
0.000 0.000 0.000
0.000 0.500 0.500
0.500 0.000 0.500
0.500 0.500 0.000
0.257 0.000 0.758
0.274 0.500 0.256
0.726 0.500 0.744
0.743 0.000 0.242
```

Calculated values
Energy in eV for the cell shown: -47.2
Space group: No. 10